No. 1
First-principles (PBE) data for crystalline CsLaBrCl2 at its relaxed geometry, as listed in Alexandria via LeMat-Bulk.

Lattice parameters (Å, degrees): 5.658 5.658 5.973 90.00 90.00 90.00
Fractional positions:
Cs  0.000  0.000  0.000
La  0.500  0.500  0.500
Br  0.500  0.500  0.000
Cl  0.000  0.500  0.500
Cl  0.500  0.000  0.500

Summary:
Raw formation energy: -1.8863 eV per atom
Fermi-level density of states: 0.818 states/eV per atom


No. 2
First-principles (PBE) data for crystalline Cs2LaBr3Cl3 at its relaxed geometry, as listed in Alexandria via LeMat-Bulk.

Lattice parameters (Å, degrees): 9.026 9.026 4.520 90.00 90.00 120.00
Fractional positions:
Cs  0.333  0.667  0.000
Cs  0.667  0.333  0.000
La  0.000  0.000  0.500
Br  0.000  0.346  0.500
Br  0.346  0.000  0.500
Br  0.654  0.654  0.500
Cl  0.000  0.782  0.000
Cl  0.218  0.218  0.000
Cl  0.782  0.000  0.000

Summary:
Raw formation energy: -1.7692 eV per atom
Fermi-level density of states: 1.150 states/eV per atom


No. 3
First-principles (PBE) data for crystalline CsLi2Br2Cl at its relaxed geometry, as listed in Alexandria via LeMat-Bulk.

Lattice parameters (Å, degrees): 8.079 6.027 8.102 90.00 102.57 90.00
Fractional positions:
Cs  0.181  0.250  0.320
Cs  0.819  0.750  0.680
Li  0.348  0.000  0.850
Li  0.348  0.500  0.850
Li  0.652  0.000  0.150
Li  0.652  0.500  0.150
Br  0.101  0.250  0.834
Br  0.330  0.750  0.603
Br  0.670  0.250  0.397
Br  0.899  0.750  0.166
Cl  0.413  0.750  0.088
Cl  0.587  0.250  0.912

Summary:
Raw formation energy: -1.7128 eV per atom
Fermi-level density of states: 0.000 states/eV per atom


No. 4
First-principles (PBE) data for crystalline Cs3LiBr2Cl6 at its relaxed geometry, as listed in Alexandria via LeMat-Bulk.

Lattice parameters (Å, degrees): 7.626 7.626 8.550 90.00 90.00 120.00
Fractional positions:
Cs  0.000  0.000  0.000
Cs  0.333  0.667  0.642
Cs  0.667  0.333  0.358
Li  0.000  0.000  0.500
Br  0.333  0.667  0.104
Br  0.667  0.333  0.896
Cl  0.159  0.319  0.330
Cl  0.159  0.841  0.330
Cl  0.319  0.159  0.670
Cl  0.681  0.841  0.330
Cl  0.841  0.159  0.670
Cl  0.841  0.681  0.670

Summary:
Raw formation energy: -1.0389 eV per atom
Fermi-level density of states: 0.503 states/eV per atom


No. 5
First-principles (PBE) data for crystalline CsLiBrCl at its relaxed geometry, as listed in Alexandria via LeMat-Bulk.

Lattice parameters (Å, degrees): 5.156 5.156 9.750 90.00 90.00 90.00
Fractional positions:
Cs  0.250  0.250  0.191
Cs  0.750  0.750  0.809
Li  0.250  0.250  0.592
Li  0.750  0.750  0.408
Br  0.250  0.750  0.500
Br  0.750  0.250  0.500
Cl  0.250  0.250  0.833
Cl  0.750  0.750  0.167

Summary:
Raw formation energy: -1.7685 eV per atom
Fermi-level density of states: 0.000 states/eV per atom


No. 6
First-principles (PBE) data for crystalline Cs3Li2Br3Cl2 at its relaxed geometry, as listed in Alexandria via LeMat-Bulk.

Lattice parameters (Å, degrees): 14.282 14.282 14.282 159.54 159.54 29.09
Fractional positions:
Cs  0.000  0.000  0.000
Cs  0.359  0.359  0.000
Cs  0.641  0.641  0.000
Li  0.224  0.224  0.000
Li  0.776  0.776  0.000
Br  0.131  0.131  0.000
Br  0.500  0.500  0.000
Br  0.869  0.869  0.000
Cl  0.250  0.750  0.500
Cl  0.750  0.250  0.500

Summary:
Raw formation energy: -1.7759 eV per atom
Fermi-level density of states: 0.000 states/eV per atom


No. 7
First-principles (PBE) data for crystalline Cs3Li2Br4Cl2 at its relaxed geometry, as listed in Alexandria via LeMat-Bulk.

Lattice parameters (Å, degrees): 15.373 15.373 15.373 160.69 160.69 27.45
Fractional positions:
Cs  0.000  0.000  0.000
Cs  0.187  0.187  0.000
Cs  0.813  0.813  0.000
Li  0.383  0.383  0.000
Li  0.617  0.617  0.000
Br  0.089  0.589  0.500
Br  0.411  0.911  0.500
Br  0.589  0.089  0.500
Br  0.911  0.411  0.500
Cl  0.305  0.305  0.000
Cl  0.695  0.695  0.000

Summary:
Raw formation energy: -1.5616 eV per atom
Fermi-level density of states: 0.676 states/eV per atom


No. 8
First-principles (PBE) data for crystalline Cs3Mg2Br5Cl2 at its relaxed geometry, as listed in Alexandria via LeMat-Bulk.

Lattice parameters (Å, degrees): 14.442 14.442 14.442 158.19 158.19 31.04
Fractional positions:
Cs  0.000  0.000  0.000
Cs  0.185  0.185  0.000
Cs  0.815  0.815  0.000
Mg  0.400  0.400  0.000
Mg  0.600  0.600  0.000
Br  0.096  0.596  0.500
Br  0.404  0.904  0.500
Br  0.500  0.500  0.000
Br  0.596  0.096  0.500
Br  0.904  0.404  0.500
Cl  0.312  0.312  0.000
Cl  0.688  0.688  0.000

Summary:
Raw formation energy: -1.7139 eV per atom
Fermi-level density of states: 0.000 states/eV per atom


No. 9
First-principles (PBE) data for crystalline CsMgBrCl2 at its relaxed geometry, as listed in Alexandria via LeMat-Bulk.

Lattice parameters (Å, degrees): 9.166 9.166 8.495 90.00 90.00 152.69
Fractional positions:
Cs  0.212  0.788  0.750
Cs  0.788  0.212  0.250
Mg  0.500  0.500  0.000
Mg  0.500  0.500  0.500
Br  0.003  0.997  0.750
Br  0.997  0.003  0.250
Cl  0.369  0.631  0.508
Cl  0.369  0.631  0.992
Cl  0.631  0.369  0.008
Cl  0.631  0.369  0.492

Summary:
Raw formation energy: -1.7030 eV per atom
Fermi-level density of states: 0.000 states/eV per atom


No. 10
First-principles (PBE) data for crystalline CsMgBr2Cl at its relaxed geometry, as listed in Alexandria via LeMat-Bulk.

Lattice parameters (Å, degrees): 8.908 4.193 9.373 90.00 102.42 90.00
Fractional positions:
Cs  0.165  0.250  0.315
Cs  0.835  0.750  0.685
Mg  0.327  0.750  0.861
Mg  0.673  0.250  0.139
Br  0.147  0.250  0.909
Br  0.459  0.750  0.152
Br  0.541  0.250  0.848
Br  0.853  0.750  0.091
Cl  0.228  0.750  0.605
Cl  0.772  0.250  0.395

Summary:
Raw formation energy: -1.6839 eV per atom
Fermi-level density of states: 0.000 states/eV per atom


No. 11
First-principles (PBE) data for crystalline Cs2MgBr2Cl2 at its relaxed geometry, as listed in Alexandria via LeMat-Bulk.

Lattice parameters (Å, degrees): 9.676 9.676 9.676 148.63 148.63 44.96
Fractional positions:
Cs  0.139  0.139  0.000
Cs  0.861  0.861  0.000
Mg  0.500  0.500  0.000
Br  0.350  0.350  0.000
Br  0.650  0.650  0.000
Cl  0.000  0.500  0.500
Cl  0.500  0.000  0.500

Summary:
Raw formation energy: -1.8260 eV per atom
Fermi-level density of states: 0.000 states/eV per atom


No. 12
First-principles (PBE) data for crystalline Cs2MgBrCl6 at its relaxed geometry, as listed in Alexandria via LeMat-Bulk.

Lattice parameters (Å, degrees): 7.693 7.693 7.693 116.75 116.75 95.73
Fractional positions:
Cs  0.250  0.750  0.500
Cs  0.750  0.250  0.500
Mg  0.000  0.000  0.000
Br  0.500  0.500  0.000
Cl  0.213  0.213  0.425
Cl  0.213  0.787  0.000
Cl  0.271  0.271  0.000
Cl  0.729  0.729  0.000
Cl  0.787  0.213  0.000
Cl  0.787  0.787  0.575

Summary:
Raw formation energy: -1.2739 eV per atom
Fermi-level density of states: 0.574 states/eV per atom


No. 13
First-principles (PBE) data for crystalline Cs3Mn2Br2Cl5 at its relaxed geometry, as listed in Alexandria via LeMat-Bulk.

Lattice parameters (Å, degrees): 14.519 14.519 14.519 159.31 159.31 29.42
Fractional positions:
Cs  0.000  0.000  0.000
Cs  0.178  0.178  0.000
Cs  0.822  0.822  0.000
Mn  0.408  0.408  0.000
Mn  0.592  0.592  0.000
Br  0.313  0.313  0.000
Br  0.687  0.687  0.000
Cl  0.091  0.591  0.500
Cl  0.409  0.909  0.500
Cl  0.500  0.500  0.000
Cl  0.591  0.091  0.500
Cl  0.909  0.409  0.500

Summary:
Raw formation energy: -1.4952 eV per atom


No. 14
First-principles (PBE) data for crystalline CsMnBr2Cl at its relaxed geometry, as listed in Alexandria via LeMat-Bulk.

Lattice parameters (Å, degrees): 5.476 5.476 5.109 90.00 90.00 90.00
Fractional positions:
Cs  0.000  0.000  0.000
Mn  0.500  0.500  0.500
Br  0.000  0.500  0.500
Br  0.500  0.000  0.500
Cl  0.500  0.500  0.000

Summary:
Distance to the lowest polymorph of the same formula: 0.003 eV/atom
Raw formation energy: -1.2738 eV per atom


No. 15
First-principles (PBE) data for crystalline Cs3Mn2BrCl9 at its relaxed geometry, as listed in Alexandria via LeMat-Bulk.

Lattice parameters (Å, degrees): 7.282 7.282 9.850 90.00 90.00 120.00
Fractional positions:
Cs  0.000  0.000  0.000
Cs  0.333  0.667  0.655
Cs  0.667  0.333  0.345
Mn  0.333  0.667  0.149
Mn  0.667  0.333  0.851
Br  0.000  0.000  0.500
Cl  0.000  0.500  0.000
Cl  0.183  0.367  0.279
Cl  0.183  0.817  0.279
Cl  0.367  0.183  0.721
Cl  0.500  0.000  0.000
Cl  0.500  0.500  0.000
Cl  0.633  0.817  0.279
Cl  0.817  0.183  0.721
Cl  0.817  0.633  0.721

Summary:
Raw formation energy: -1.2953 eV per atom
Fermi-level density of states: 0.189 states/eV per atom


No. 16
First-principles (PBE) data for crystalline CsMnBrCl2 at its relaxed geometry, as listed in Alexandria via LeMat-Bulk.

Lattice parameters (Å, degrees): 5.163 5.163 5.447 90.00 90.00 90.00
Fractional positions:
Cs  0.000  0.000  0.000
Mn  0.500  0.500  0.500
Br  0.500  0.500  0.000
Cl  0.000  0.500  0.500
Cl  0.500  0.000  0.500

Summary:
Raw formation energy: -1.3660 eV per atom


No. 17
First-principles (PBE) data for crystalline Cs2MnBrCl5 at its relaxed geometry, as listed in Alexandria via LeMat-Bulk.

Lattice parameters (Å, degrees): 7.451 7.451 7.451 119.08 119.08 91.60
Fractional positions:
Cs  0.000  0.500  0.500
Cs  0.500  0.000  0.500
Mn  0.248  0.248  0.000
Br  0.487  0.487  0.000
Cl  0.027  0.027  0.000
Cl  0.035  0.035  0.570
Cl  0.035  0.465  0.000
Cl  0.465  0.035  0.000
Cl  0.465  0.465  0.430

Summary:
Raw formation energy: -1.4100 eV per atom


No. 18
First-principles (PBE) data for crystalline CsMnBr2Cl at its relaxed geometry, as listed in Alexandria via LeMat-Bulk.

Lattice parameters (Å, degrees): 8.051 8.051 8.051 125.91 125.91 80.03
Fractional positions:
Cs  0.000  0.500  0.500
Cs  0.500  0.000  0.500
Mn  0.289  0.289  0.000
Mn  0.789  0.789  0.000
Br  0.029  0.529  0.074
Br  0.455  0.955  0.926
Br  0.529  0.455  0.500
Br  0.955  0.029  0.500
Cl  0.479  0.479  0.000
Cl  0.979  0.979  0.000

Summary:
Distance to the lowest polymorph of the same formula: 0.000 eV/atom
Raw formation energy: -1.2769 eV per atom


No. 19
First-principles (PBE) data for crystalline Cs3Mn2Br3Cl4 at its relaxed geometry, as listed in Alexandria via LeMat-Bulk.

Lattice parameters (Å, degrees): 14.513 14.513 14.513 159.46 158.36 30.01
Fractional positions:
Cs  0.000  0.000  0.000
Cs  0.185  0.185  0.000
Cs  0.815  0.815  0.000
Mn  0.400  0.400  0.000
Mn  0.600  0.600  0.000
Br  0.095  0.595  0.500
Br  0.500  0.500  0.000
Br  0.905  0.405  0.500
Cl  0.312  0.312  0.000
Cl  0.403  0.903  0.500
Cl  0.597  0.097  0.500
Cl  0.688  0.688  0.000

Summary:
Raw formation energy: -1.4429 eV per atom


No. 20
First-principles (PBE) data for crystalline Cs2MnBr4Cl2 at its relaxed geometry, as listed in Alexandria via LeMat-Bulk.

Lattice parameters (Å, degrees): 7.692 7.692 7.692 120.80 120.80 88.61
Fractional positions:
Cs  0.250  0.750  0.500
Cs  0.750  0.250  0.500
Mn  0.000  0.000  0.000
Br  0.231  0.231  0.461
Br  0.231  0.769  0.000
Br  0.769  0.231  0.000
Br  0.769  0.769  0.539
Cl  0.208  0.208  0.000
Cl  0.792  0.792  0.000

Summary:
Raw formation energy: -1.2692 eV per atom